(1)
A plane-wave DFT calculation with PBE-GGA was carried out for crystalline ScSCl3 at its relaxed geometry.

Properties
Uncorrected formation energy, kJ per mole of atoms: -92.8
VASP energy, eV per atom: -4.16
D(E_F), states/eV per atom: 0.668

Cell and atoms, written as CIF:
```
data_ScSCl3
_symmetry_space_group_name_H-M 'P m -3 m'
_symmetry_Int_Tables_number 221
_symmetry_space_group_name_Hall '-P 4 2 3'
_cell_length_a 5.017
_cell_length_b 5.017
_cell_length_c 5.017
_cell_angle_alpha 90.00
_cell_angle_beta 90.00
_cell_angle_gamma 90.00
loop_
_atom_site_label
_atom_site_type_symbol
_atom_site_fract_x
_atom_site_fract_y
_atom_site_fract_z
_atom_site_occupancy
Sc1 Sc 0.000 0.000 0.000 1
S1 S 0.500 0.500 0.500 1
Cl1 Cl 0.000 0.000 0.500 1
```

=====

(2)
A plane-wave DFT calculation with PBE-GGA was carried out for crystalline Sc3SCl7 at its relaxed geometry.

Properties
Uncorrected formation energy, kJ per mole of atoms: -199.0
VASP energy, eV per atom: -5.34
D(E_F), states/eV per atom: 0.000

Cell and atoms, written as CIF:
```
data_Sc3SCl7
_symmetry_space_group_name_H-M 'C 1 m 1'
_symmetry_Int_Tables_number 8
_symmetry_space_group_name_Hall 'C -2y'
_cell_length_a 12.877
_cell_length_b 7.444
_cell_length_c 9.101
_cell_angle_alpha 90.00
_cell_angle_beta 134.88
_cell_angle_gamma 90.00
loop_
_atom_site_label
_atom_site_type_symbol
_atom_site_fract_x
_atom_site_fract_y
_atom_site_fract_z
_atom_site_occupancy
Sc1 Sc 0.000 0.000 0.000 1
Sc2 Sc 0.241 0.241 0.482 1
S1 S 0.054 0.000 0.322 1
Cl1 Cl 0.068 0.500 0.339 1
Cl2 Cl 0.193 0.238 0.162 1
Cl3 Cl 0.305 0.263 0.814 1
Cl4 Cl 0.431 0.000 0.638 1
Cl5 Cl 0.443 0.500 0.655 1
```

=====

(3)
A plane-wave DFT calculation with PBE-GGA was carried out for crystalline ScSeSCl2 at its relaxed geometry.

Properties
Uncorrected formation energy, kJ per mole of atoms: -72.0
VASP energy, eV per atom: -4.27
D(E_F), states/eV per atom: 0.689

Cell and atoms, written as CIF:
```
data_ScSeSCl2
_symmetry_space_group_name_H-M 'P 4/m m m'
_symmetry_Int_Tables_number 123
_symmetry_space_group_name_Hall '-P 4 2'
_cell_length_a 4.856
_cell_length_b 4.856
_cell_length_c 5.256
_cell_angle_alpha 90.00
_cell_angle_beta 90.00
_cell_angle_gamma 90.00
loop_
_atom_site_label
_atom_site_type_symbol
_atom_site_fract_x
_atom_site_fract_y
_atom_site_fract_z
_atom_site_occupancy
Sc1 Sc 0.000 0.000 0.000 1
Se1 Se 0.500 0.500 0.500 1
S1 S 0.000 0.000 0.500 1
Cl1 Cl 0.000 0.500 0.000 1
```

=====

(4)
A plane-wave DFT calculation with PBE-GGA was carried out for crystalline ScSeS2Cl at its relaxed geometry.

Properties
Uncorrected formation energy, kJ per mole of atoms: -1.1
VASP energy, eV per atom: -3.99
D(E_F), states/eV per atom: 0.902

Cell and atoms, written as CIF:
```
data_ScSeS2Cl
_symmetry_space_group_name_H-M 'P 4/m m m'
_symmetry_Int_Tables_number 123
_symmetry_space_group_name_Hall '-P 4 2'
_cell_length_a 4.843
_cell_length_b 4.843
_cell_length_c 4.866
_cell_angle_alpha 90.00
_cell_angle_beta 90.00
_cell_angle_gamma 90.00
loop_
_atom_site_label
_atom_site_type_symbol
_atom_site_fract_x
_atom_site_fract_y
_atom_site_fract_z
_atom_site_occupancy
Sc1 Sc 0.000 0.000 0.000 1
Se1 Se 0.500 0.500 0.500 1
S1 S 0.000 0.500 0.500 1
Cl1 Cl 0.500 0.500 0.000 1
```

=====

(5)
A plane-wave DFT calculation with PBE-GGA was carried out for crystalline ScSeS2Cl at its relaxed geometry.

Properties
Uncorrected formation energy, kJ per mole of atoms: -37.7
VASP energy, eV per atom: -4.37
D(E_F), states/eV per atom: 0.813

Cell and atoms, written as CIF:
```
data_ScSeS2Cl
_symmetry_space_group_name_H-M 'P 4/m m m'
_symmetry_Int_Tables_number 123
_symmetry_space_group_name_Hall '-P 4 2'
_cell_length_a 5.033
_cell_length_b 5.033
_cell_length_c 4.729
_cell_angle_alpha 90.00
_cell_angle_beta 90.00
_cell_angle_gamma 90.00
loop_
_atom_site_label
_atom_site_type_symbol
_atom_site_fract_x
_atom_site_fract_y
_atom_site_fract_z
_atom_site_occupancy
Sc1 Sc 0.000 0.000 0.000 1
Se1 Se 0.500 0.500 0.500 1
S1 S 0.000 0.500 0.000 1
Cl1 Cl 0.000 0.000 0.500 1
```

=====

(6)
A plane-wave DFT calculation with PBE-GGA was carried out for crystalline ScSeSCl2 at its relaxed geometry.

Properties
Uncorrected formation energy, kJ per mole of atoms: -0.2
VASP energy, eV per atom: -3.53
D(E_F), states/eV per atom: 1.415

Cell and atoms, written as CIF:
```
data_ScSeSCl2
_symmetry_space_group_name_H-M 'P 4/m m m'
_symmetry_Int_Tables_number 123
_symmetry_space_group_name_Hall '-P 4 2'
_cell_length_a 5.066
_cell_length_b 5.066
_cell_length_c 4.922
_cell_angle_alpha 90.00
_cell_angle_beta 90.00
_cell_angle_gamma 90.00
loop_
_atom_site_label
_atom_site_type_symbol
_atom_site_fract_x
_atom_site_fract_y
_atom_site_fract_z
_atom_site_occupancy
Sc1 Sc 0.000 0.000 0.000 1
Se1 Se 0.500 0.500 0.500 1
S1 S 0.500 0.500 0.000 1
Cl1 Cl 0.000 0.500 0.500 1
```

=====

(7)
A plane-wave DFT calculation with PBE-GGA was carried out for crystalline ScSiS2Cl at its relaxed geometry.

Properties
Uncorrected formation energy, kJ per mole of atoms: -41.1
VASP energy, eV per atom: -4.80
D(E_F), states/eV per atom: 0.743

Cell and atoms, written as CIF:
```
data_ScSiS2Cl
_symmetry_space_group_name_H-M 'P 4/m m m'
_symmetry_Int_Tables_number 123
_symmetry_space_group_name_Hall '-P 4 2'
_cell_length_a 4.650
_cell_length_b 4.650
_cell_length_c 4.542
_cell_angle_alpha 90.00
_cell_angle_beta 90.00
_cell_angle_gamma 90.00
loop_
_atom_site_label
_atom_site_type_symbol
_atom_site_fract_x
_atom_site_fract_y
_atom_site_fract_z
_atom_site_occupancy
Sc1 Sc 0.000 0.000 0.000 1
Si1 Si 0.500 0.500 0.500 1
S1 S 0.000 0.500 0.500 1
Cl1 Cl 0.500 0.500 0.000 1
```

=====

(8)
A plane-wave DFT calculation with PBE-GGA was carried out for crystalline ScSiSCl2 at its relaxed geometry.

Properties
Uncorrected formation energy, kJ per mole of atoms: -64.3
VASP energy, eV per atom: -4.58
D(E_F), states/eV per atom: 0.423

Cell and atoms, written as CIF:
```
data_ScSiSCl2
_symmetry_space_group_name_H-M 'P 4/m m m'
_symmetry_Int_Tables_number 123
_symmetry_space_group_name_Hall '-P 4 2'
_cell_length_a 4.916
_cell_length_b 4.916
_cell_length_c 5.070
_cell_angle_alpha 90.00
_cell_angle_beta 90.00
_cell_angle_gamma 90.00
loop_
_atom_site_label
_atom_site_type_symbol
_atom_site_fract_x
_atom_site_fract_y
_atom_site_fract_z
_atom_site_occupancy
Sc1 Sc 0.000 0.000 0.000 1
Si1 Si 0.500 0.500 0.500 1
S1 S 0.000 0.000 0.500 1
Cl1 Cl 0.000 0.500 0.000 1
```

=====

(9)
A plane-wave DFT calculation with PBE-GGA was carried out for crystalline ScSiSCl2 at its relaxed geometry.

Properties
Uncorrected formation energy, kJ per mole of atoms: -32.2
VASP energy, eV per atom: -4.25
D(E_F), states/eV per atom: 0.915

Cell and atoms, written as CIF:
```
data_ScSiSCl2
_symmetry_space_group_name_H-M 'P 4/m m m'
_symmetry_Int_Tables_number 123
_symmetry_space_group_name_Hall '-P 4 2'
_cell_length_a 4.744
_cell_length_b 4.744
_cell_length_c 4.919
_cell_angle_alpha 90.00
_cell_angle_beta 90.00
_cell_angle_gamma 90.00
loop_
_atom_site_label
_atom_site_type_symbol
_atom_site_fract_x
_atom_site_fract_y
_atom_site_fract_z
_atom_site_occupancy
Sc1 Sc 0.000 0.000 0.000 1
Si1 Si 0.500 0.500 0.500 1
S1 S 0.500 0.500 0.000 1
Cl1 Cl 0.000 0.500 0.500 1
```

=====

(10)
A plane-wave DFT calculation with PBE-GGA was carried out for crystalline ScSiS2Cl at its relaxed geometry.

Properties
Uncorrected formation energy, kJ per mole of atoms: -46.3
VASP energy, eV per atom: -4.85
D(E_F), states/eV per atom: 0.116

Cell and atoms, written as CIF:
```
data_ScSiS2Cl
_symmetry_space_group_name_H-M 'P 4/m m m'
_symmetry_Int_Tables_number 123
_symmetry_space_group_name_Hall '-P 4 2'
_cell_length_a 4.990
_cell_length_b 4.990
_cell_length_c 4.751
_cell_angle_alpha 90.00
_cell_angle_beta 90.00
_cell_angle_gamma 90.00
loop_
_atom_site_label
_atom_site_type_symbol
_atom_site_fract_x
_atom_site_fract_y
_atom_site_fract_z
_atom_site_occupancy
Sc1 Sc 0.000 0.000 0.000 1
Si1 Si 0.500 0.500 0.500 1
S1 S 0.000 0.500 0.000 1
Cl1 Cl 0.000 0.000 0.500 1
```

=====

(11)
A plane-wave DFT calculation with PBE-GGA was carried out for crystalline ScSnSCl2 at its relaxed geometry.

Properties
Uncorrected formation energy, kJ per mole of atoms: -104.1
VASP energy, eV per atom: -4.71
D(E_F), states/eV per atom: 0.697

Cell and atoms, written as CIF:
```
data_ScSnSCl2
_symmetry_space_group_name_H-M 'P 4/m m m'
_symmetry_Int_Tables_number 123
_symmetry_space_group_name_Hall '-P 4 2'
_cell_length_a 4.975
_cell_length_b 4.975
_cell_length_c 5.043
_cell_angle_alpha 90.00
_cell_angle_beta 90.00
_cell_angle_gamma 90.00
loop_
_atom_site_label
_atom_site_type_symbol
_atom_site_fract_x
_atom_site_fract_y
_atom_site_fract_z
_atom_site_occupancy
Sc1 Sc 0.000 0.000 0.000 1
Sn1 Sn 0.500 0.500 0.500 1
S1 S 0.000 0.000 0.500 1
Cl1 Cl 0.000 0.500 0.000 1
```

=====

(12)
A plane-wave DFT calculation with PBE-GGA was carried out for crystalline ScSnSCl2 at its relaxed geometry.

Properties
Uncorrected formation energy, kJ per mole of atoms: -29.8
VASP energy, eV per atom: -3.94
D(E_F), states/eV per atom: 1.177

Cell and atoms, written as CIF:
```
data_ScSnSCl2
_symmetry_space_group_name_H-M 'P 4/m m m'
_symmetry_Int_Tables_number 123
_symmetry_space_group_name_Hall '-P 4 2'
_cell_length_a 5.294
_cell_length_b 5.294
_cell_length_c 5.271
_cell_angle_alpha 90.00
_cell_angle_beta 90.00
_cell_angle_gamma 90.00
loop_
_atom_site_label
_atom_site_type_symbol
_atom_site_fract_x
_atom_site_fract_y
_atom_site_fract_z
_atom_site_occupancy
Sc1 Sc 0.000 0.000 0.000 1
Sn1 Sn 0.500 0.500 0.500 1
S1 S 0.500 0.500 0.000 1
Cl1 Cl 0.000 0.500 0.500 1
```

=====

(13)
A plane-wave DFT calculation with PBE-GGA was carried out for crystalline SrScSCl2 at its relaxed geometry.

Properties
Uncorrected formation energy, kJ per mole of atoms: -172.3
VASP energy, eV per atom: -4.95
D(E_F), states/eV per atom: 0.587

Cell and atoms, written as CIF:
```
data_SrScSCl2
_symmetry_space_group_name_H-M 'P 4/m m m'
_symmetry_Int_Tables_number 123
_symmetry_space_group_name_Hall '-P 4 2'
_cell_length_a 4.951
_cell_length_b 4.951
_cell_length_c 5.100
_cell_angle_alpha 90.00
_cell_angle_beta 90.00
_cell_angle_gamma 90.00
loop_
_atom_site_label
_atom_site_type_symbol
_atom_site_fract_x
_atom_site_fract_y
_atom_site_fract_z
_atom_site_occupancy
Sr1 Sr 0.000 0.000 0.000 1
Sc1 Sc 0.500 0.500 0.500 1
S1 S 0.500 0.500 0.000 1
Cl1 Cl 0.000 0.500 0.500 1
```

=====

(14)
A plane-wave DFT calculation with PBE-GGA was carried out for crystalline SrScSCl2 at its relaxed geometry.

Properties
Uncorrected formation energy, kJ per mole of atoms: -95.9
VASP energy, eV per atom: -4.16
D(E_F), states/eV per atom: 0.955

Cell and atoms, written as CIF:
```
data_SrScSCl2
_symmetry_space_group_name_H-M 'P 4/m m m'
_symmetry_Int_Tables_number 123
_symmetry_space_group_name_Hall '-P 4 2'
_cell_length_a 5.334
_cell_length_b 5.334
_cell_length_c 5.781
_cell_angle_alpha 90.00
_cell_angle_beta 90.00
_cell_angle_gamma 90.00
loop_
_atom_site_label
_atom_site_type_symbol
_atom_site_fract_x
_atom_site_fract_y
_atom_site_fract_z
_atom_site_occupancy
Sr1 Sr 0.000 0.000 0.000 1
Sc1 Sc 0.500 0.500 0.500 1
S1 S 0.000 0.000 0.500 1
Cl1 Cl 0.000 0.500 0.000 1
```